This record from Alexandria describes crystalline CdPt2SeS at its relaxed geometry. The functional is PBE-GGA.

The value obtained for the raw total energy is -14.126 eV for the cell shown. Its uncorrected formation energy is 6.5 eV per formula unit. The calculation puts the theoretical density at 8.5 g cm⁻³.

The structure belongs to space group P4/mmm (No. 123); the cell edges are 5.088, 5.088 and 4.643 Å and the angles 90.00°, 90.00° and 90.00°. The inequivalent atoms are Cd at (0.000, 0.000, 0.000), Pt at (0.000, 0.500, 0.000), Se at (0.500, 0.500, 0.500) and S at (0.000, 0.000, 0.500).